1.
DFT (PBE) results for crystalline Mn2CuTc at its relaxed geometry.

abc: 4.1629 4.1629 4.1629
angles: 60.00 60.00 60.00
Closest atoms and distances in Å follow each position.
Fractional positions:
Cu: 0.5000 0.5000 0.5000  4 Tc 2.55, 4 Mn 2.55
Mn: 0.0000 0.0000 0.0000  4 Mn 2.55, 4 Tc 2.55
Mn: 0.2500 0.2500 0.2500  4 Mn 2.55, 4 Cu 2.55
Tc: 0.7500 0.7500 0.7500  4 Cu 2.55, 4 Mn 2.55

* energy of formation: 0.268 eV per atom
* DFT total energy: -31.7 eV per cell
* N(E_F): 5.323 states/eV/f.u.
* space group: F-43m (216)


2.
DFT (PBE) results for crystalline ZnRuSe2N at its relaxed geometry.

abc: 4.9783 4.9783 3.5298
angles: 90.00 90.00 90.00
Closest atoms and distances in Å follow each position.
Fractional positions:
Ru: 0.5000 0.5000 0.5000  8 Se 3.05
Zn: 0.0000 0.0000 0.0000  2 N 1.76
Se: 0.0000 0.5000 0.0000  2 Zn 2.49
Se: 0.5000 0.0000 0.0000  2 Zn 2.49
N: 0.0000 0.0000 0.5000  2 Zn 1.76

* ΔE_f (raw): 124.1 kJ per mole of atoms
* DFT total energy: -19.4 eV per cell
* N(E_F): 5.855 states/eV/f.u.
* E above lowest polymorph: 905.4 meV per atom
* space group: P4/mmm (123)


3.
DFT (PBE) results for crystalline RbLi2NiSb at its relaxed geometry.

abc: 5.3182 4.8729 5.3182
angles: 90.00 90.00 90.00
Closest atoms and distances in Å follow each position.
Fractional positions:
Sb: 0.0000 0.0000 0.0000  2 Ni 2.44, 4 Li 2.66
Li: 0.0000 0.0000 0.5000  2 Sb 2.66
Li: 0.5000 0.0000 0.0000  2 Sb 2.66
Rb: 0.5000 0.5000 0.5000  8 Li 3.61, 4 Ni 3.76
Ni: 0.0000 0.5000 0.0000  2 Sb 2.44

* ΔE_f (raw): -8.3 kJ per mole of atoms
* DFT total energy: -15.1 eV per cell
* N(E_F): 1.232 states/eV/f.u.
* space group: P4/mmm (123)


4.
DFT (PBE) results for crystalline TcPOs2 at its relaxed geometry.

abc: 2.7898 2.7898 8.4382
angles: 90.00 90.00 119.01
Closest atoms and distances in Å follow each position.
Fractional positions:
Tc: 0.5000 0.5000 0.0000  4 Os 2.71, 6 Tc 2.79-2.83
P: 0.5000 0.5000 0.5000  4 Os 2.38
Os: 0.0000 0.0000 0.2739  2 P 2.38
Os: 0.0000 0.0000 0.7261  2 P 2.38

* energy of formation: 0.541 eV per atom
* DFT total energy: -36.1 eV per cell
* N(E_F): 5.477 states/eV/f.u.
* space group: Cmmm (65)


5.
DFT (PBE) results for crystalline Te4Pt3 at its relaxed geometry.

abc: 5.4963 5.4963 5.9274
angles: 90.00 90.00 120.00
Closest atoms and distances in Å follow each position.
Fractional positions:
Te: 0.0000 0.0000 0.2375  2 Te 2.82-3.11, 6 Pt 3.09
Te: 0.0000 0.0000 0.7625  2 Te 2.82-3.11, 6 Pt 3.09
Te: 0.6667 0.3333 0.5000  9 Te 3.17-3.53, 6 Pt 3.36
Te: 0.3333 0.6667 0.5000  9 Te 3.17-3.53, 6 Pt 3.36
Pt: 0.0000 0.5000 0.0000  4 Pt 2.75
Pt: 0.5000 0.5000 0.0000  4 Pt 2.75
Pt: 0.5000 0.0000 0.0000  4 Pt 2.75

* ΔE_f (raw): 38.8 kJ per mole of atoms
* DFT total energy: -27.9 eV per cell
* N(E_F): 5.865 states/eV/f.u.
* E above lowest polymorph: 788.7 meV per atom
* space group: P6/mmm (191)


6.
DFT (PBE) results for crystalline In2NiSb at its relaxed geometry.

abc: 4.0054 5.5853 5.5834
angles: 52.86 90.00 90.00
Closest atoms and distances in Å follow each position.
Fractional positions:
In: 0.0000 0.9739 0.9741  2 Ni 2.52
In: 0.5000 0.3394 0.3394  2 Ni 2.68
Ni: 0.0000 0.5172 0.5174  2 Sb 2.51, 4 In 2.52-2.68
Sb: 0.5000 0.6694 0.6690  2 Ni 2.51

* ΔE_f (raw): -4.4 kJ per mole of atoms
* DFT total energy: -15.6 eV per cell
* N(E_F): 1.498 states/eV/f.u.
* space group: Amm2 (38)


7.
DFT (PBE) results for crystalline TbErSe2 at its relaxed geometry.

abc: 4.2438 6.3999 9.1615
angles: 90.00 89.99 90.00
Closest atoms and distances in Å follow each position.
Fractional positions:
Tb: 0.2008 0.7988 0.7732  4 Se 2.76-2.87
Tb: 0.7013 0.2987 0.4428  4 Se 2.76-2.87
Er: 0.2009 0.9330 0.1913  4 Se 2.74-2.98
Er: 0.7009 0.4330 0.0247  4 Se 2.74-2.98
Se: 0.7009 0.6634 0.2769  3 Er 2.74-2.85, 1 Tb 2.79
Se: 0.7008 0.5382 0.7082  3 Tb 2.76-2.87, 1 Er 2.98
Se: 0.2012 0.0381 0.5078  3 Tb 2.76-2.87, 1 Er 2.98
Se: 0.2011 0.1635 0.9391  3 Er 2.74-2.85, 1 Tb 2.79

* ΔE_f (raw): -132.1 kJ per mole of atoms
* DFT total energy: -43.3 eV per cell
* N(E_F): 0.981 states/eV/f.u.
* E above lowest polymorph: 369.0 meV per atom
* space group: Pmn2_1 (31)


8.
DFT (PBE) results for crystalline Ta2Be9V at its relaxed geometry.

abc: 4.5144 4.5144 13.8504
angles: 90.00 90.00 120.00
Closest atoms and distances in Å follow each position.
Fractional positions:
Ta: 0.3333 0.6667 0.5405  12 Be 2.57-2.68, 3 Ta 2.84
Ta: 0.6667 0.3333 0.0405  12 Be 2.57-2.68, 3 Ta 2.84
Ta: 0.6667 0.3333 0.4595  12 Be 2.57-2.68, 3 Ta 2.84
Ta: 0.3333 0.6667 0.9595  12 Be 2.57-2.68, 3 Ta 2.84
Be: 0.0000 0.0000 0.0000  6 Be 2.22
Be: 0.0000 0.0000 0.5000  6 Be 2.22
Be: 0.0000 0.0000 0.2500  6 Be 2.13
Be: 0.0000 0.0000 0.7500  6 Be 2.13
Be: 0.3333 0.6667 0.2500  6 Be 2.11
Be: 0.6667 0.3333 0.7500  6 Be 2.11
Be: 0.1689 0.3377 0.1290  7 Be 2.11-2.29
Be: 0.6623 0.8311 0.1290  7 Be 2.11-2.29
Be: 0.1689 0.8311 0.1290  7 Be 2.11-2.29
Be: 0.8311 0.6623 0.6290  7 Be 2.11-2.29
Be: 0.3377 0.1689 0.6290  7 Be 2.11-2.29
Be: 0.8311 0.1689 0.6290  7 Be 2.11-2.29
Be: 0.3377 0.1689 0.8710  7 Be 2.11-2.29
Be: 0.8311 0.6623 0.8710  7 Be 2.11-2.29
Be: 0.8311 0.1689 0.8710  7 Be 2.11-2.29
Be: 0.6623 0.8311 0.3710  7 Be 2.11-2.29
Be: 0.1689 0.3377 0.3710  7 Be 2.11-2.29
Be: 0.1689 0.8311 0.3710  7 Be 2.11-2.29
V: 0.3333 0.6667 0.7500  18 Be 2.61-2.81, 2 Ta 2.90
V: 0.6667 0.3333 0.2500  18 Be 2.61-2.81, 2 Ta 2.90

* energy of formation: -0.181 eV per atom
* DFT total energy: -137.1 eV per cell
* N(E_F): 2.395 states/eV/f.u.
* space group: P6_3/mmc (194)


9.
DFT (PBE) results for crystalline Ho2TiPd at its relaxed geometry.

abc: 3.4912 3.4912 7.3773
angles: 90.00 90.00 90.00
Closest atoms and distances in Å follow each position.
Fractional positions:
Ho: 0.0000 0.0000 0.7682  4 Pd 3.00, 4 Ti 3.16
Ho: 0.0000 0.0000 0.2318  4 Pd 3.00, 4 Ti 3.16
Pd: 0.5000 0.5000 0.0000  8 Ho 3.00
Ti: 0.5000 0.5000 0.5000  8 Ho 3.16, 4 Ti 3.49

* energy of formation: -0.311 eV per atom
* DFT total energy: -23.5 eV per cell
* N(E_F): 4.695 states/eV/f.u.
* space group: P4/mmm (123)


10.
DFT (PBE) results for crystalline ZrSc2Mn at its relaxed geometry.

abc: 5.3090 5.3090 3.1724
angles: 90.00 90.00 107.77
Closest atoms and distances in Å follow each position.
Fractional positions:
Mn: 0.0000 0.5000 0.5000  8 Sc 3.09, 2 Zr 3.13, 2 Mn 3.17
Sc: 0.0000 0.0000 0.0000  4 Mn 3.09, 4 Zr 3.09, 4 Sc 3.13-3.17
Sc: 0.5000 0.5000 0.0000  4 Zr 3.09, 4 Mn 3.09, 4 Sc 3.13-3.17
Zr: 0.5000 0.0000 0.5000  8 Sc 3.09, 2 Mn 3.13, 2 Zr 3.17

* energy of formation: 0.195 eV per atom
* DFT total energy: -29.6 eV per cell
* N(E_F): 6.208 states/eV/f.u.
* E above lowest polymorph: 163.7 meV per atom
* space group: Cmmm (65)


11.
DFT (PBE) results for crystalline CsLaSeBr at its relaxed geometry.

abc: 4.3866 4.3859 9.1385
angles: 90.00 103.93 119.95
Closest atoms and distances in Å follow each position.
Fractional positions:
Cs: 0.4858 0.1407 0.6423  3 Se 3.47, 3 Br 3.80
La: 0.1213 0.9587 0.0951  3 Se 3.00, 3 Br 3.21
Se: 0.3331 0.5644 0.9125  3 La 3.00
Br: 0.9377 0.3670 0.3197  3 La 3.21

* ΔE_f (raw): -153.8 kJ per mole of atoms
* DFT total energy: -17.3 eV per cell
* N(E_F): 2.894 states/eV/f.u.
* space group: R3m (160)


12.
DFT (PBE) results for crystalline Nd3Er at its relaxed geometry.

abc: 7.3736 7.3736 5.8512
angles: 90.00 90.00 120.00
Closest atoms and distances in Å follow each position.
Fractional positions:
Nd: 0.1678 0.3357 0.2500  4 Er 3.61-3.69, 8 Nd 3.63-3.71
Nd: 0.6643 0.8322 0.2500  4 Er 3.61-3.69, 8 Nd 3.63-3.71
Nd: 0.1678 0.8322 0.2500  4 Er 3.61-3.69, 8 Nd 3.63-3.71
Nd: 0.8322 0.6643 0.7500  4 Er 3.61-3.69, 8 Nd 3.63-3.71
Nd: 0.3357 0.1678 0.7500  4 Er 3.61-3.69, 8 Nd 3.63-3.71
Nd: 0.8322 0.1678 0.7500  4 Er 3.61-3.69, 8 Nd 3.63-3.71
Er: 0.3333 0.6667 0.7500  12 Nd 3.61-3.69
Er: 0.6667 0.3333 0.2500  12 Nd 3.61-3.69

* energy of formation: 0.025 eV per atom
* DFT total energy: -37.5 eV per cell
* N(E_F): 6.845 states/eV/f.u.
* E above lowest polymorph: 9.8 meV per atom
* space group: P6_3/mmc (194)